SbP2Pb2: optimized geometry, PBE.

**Space group**: No. 139
**Relative energy among the computed polymorphs**: 0.000 eV/atom
**Formation energy from raw total energies**: 197 meV per atom
**Total magnetization**: 0.0000 μB/atom

a b c (Å): 3.4507 3.4507 10.7435
angles (deg): 80.76 80.76 90.00
Atoms (fractional coordinates):
Sb 0.0000 0.0000 0.0000
P 0.2500 0.7500 0.5000
P 0.7500 0.2500 0.5000
Pb 0.3810 0.3810 0.2380
Pb 0.6190 0.6190 0.7620